Entry from Alexandria via LeMat-Bulk: crystalline SmCoC at its relaxed geometry (PBE).

Calculated total energy (eV per atom): -7.249
Fermi-level density of states (states/eV per atom): 0.659
V (Å³/atom): 16.02

a = 3.6423 Å, b = 3.6423 Å, c = 7.2459 Å
α = 90.00°, β = 90.00°, γ = 90.00°
Positions (direct):
Sm 0.0000 0.0000 0.7500
Sm 0.0000 0.0000 0.2500
Co 0.5000 0.5000 0.0000
Co 0.5000 0.5000 0.5000
C 0.5000 0.0000 0.5000
C 0.0000 0.5000 0.0000

---

Entry from Alexandria via LeMat-Bulk: crystalline TlGaO2 at its relaxed geometry (PBE).

Calculated total energy (eV per atom): -4.380
Fermi-level density of states (states/eV per atom): 0.482
V (Å³/atom): 14.80

a = 3.5128 Å, b = 3.5128 Å, c = 4.7975 Å
α = 90.00°, β = 90.00°, γ = 90.00°
Positions (direct):
Tl 0.5000 0.5000 0.0000
O 0.5000 0.5000 0.5000
O 0.0000 0.0000 0.0000
Ga 0.0000 0.0000 0.5000

---

Entry from Alexandria via LeMat-Bulk: crystalline Ag2P at its relaxed geometry (PBE).

Calculated total energy (eV per atom): -3.398
Fermi-level density of states (states/eV per atom): 0.406
V (Å³/atom): 17.34

a = 4.5677 Å, b = 4.5677 Å, c = 5.7565 Å
α = 90.00°, β = 90.00°, γ = 120.00°
Positions (direct):
Ag 0.0000 0.0000 0.0000
Ag 0.0000 0.0000 0.5000
Ag 0.3333 0.6667 0.2500
Ag 0.6667 0.3333 0.7500
P 0.6667 0.3333 0.2500
P 0.3333 0.6667 0.7500

---

Entry from Alexandria via LeMat-Bulk: crystalline Nd3Er2PaAs6 at its relaxed geometry (PBE).

Calculated total energy (eV per atom): -6.520
Fermi-level density of states (states/eV per atom): 0.359
V (Å³/atom): 25.72

a = 7.2161 Å, b = 7.2161 Å, c = 7.2542 Å
α = 99.53°, β = 99.53°, γ = 120.00°
Positions (direct):
Nd 0.1678 0.8322 0.5000
Nd 0.8322 0.1678 0.5000
Nd 0.5000 0.5000 0.5000
Er 0.3337 0.6663 0.0000
Er 0.6663 0.3337 0.0000
Pa 0.0000 0.0000 0.0000
As 0.9214 0.5915 0.7638
As 0.7491 0.7491 0.2358
As 0.0786 0.4085 0.2362
As 0.5915 0.9214 0.7638
As 0.2509 0.2509 0.7642
As 0.4085 0.0786 0.2362

---

Entry from Alexandria via LeMat-Bulk: crystalline MgZrTe3 at its relaxed geometry (PBE).

Calculated total energy (eV per atom): -4.684
Fermi-level density of states (states/eV per atom): 0.044
V (Å³/atom): 35.97

a = 4.1992 Å, b = 7.4882 Å, c = 12.5729 Å
α = 114.53°, β = 90.00°, γ = 90.00°
Positions (direct):
Mg 0.2500 0.1826 0.6132
Mg 0.7500 0.8174 0.3868
Zr 0.2500 0.1278 0.1502
Zr 0.7500 0.8722 0.8498
Te 0.2500 0.1752 0.9340
Te 0.7500 0.8248 0.0660
Te 0.2500 0.0418 0.3648
Te 0.7500 0.9582 0.6352
Te 0.2500 0.5877 0.7482
Te 0.7500 0.4123 0.2518

---

Entry from Alexandria via LeMat-Bulk: crystalline TbPr15In4 at its relaxed geometry (PBE).

Calculated total energy (eV per atom): -4.576
Fermi-level density of states (states/eV per atom): 1.493
V (Å³/atom): 32.43

a = 5.0273 Å, b = 5.0273 Å, c = 25.6651 Å
α = 90.00°, β = 90.00°, γ = 90.00°
Positions (direct):
Tb 0.0000 0.0000 0.0000
Pr 0.5000 0.5000 0.0000
Pr 0.5000 0.5000 0.2045
Pr 0.5000 0.5000 0.4014
Pr 0.5000 0.5000 0.5986
Pr 0.5000 0.5000 0.7955
Pr 0.5000 0.0000 0.1052
Pr 0.5000 0.0000 0.3030
Pr 0.5000 0.0000 0.5000
Pr 0.5000 0.0000 0.6970
Pr 0.5000 0.0000 0.8948
Pr 0.0000 0.5000 0.1052
Pr 0.0000 0.5000 0.3030
Pr 0.0000 0.5000 0.5000
Pr 0.0000 0.5000 0.6970
Pr 0.0000 0.5000 0.8948
In 0.0000 0.0000 0.2052
In 0.0000 0.0000 0.4016
In 0.0000 0.0000 0.5984
In 0.0000 0.0000 0.7948

---

Entry from Alexandria via LeMat-Bulk: crystalline TbNpGe2O8 at its relaxed geometry (PBE).

Calculated total energy (eV per atom): -7.939
Fermi-level density of states (states/eV per atom): 0.569
V (Å³/atom): 13.39

a = 5.9417 Å, b = 5.9417 Å, c = 5.9417 Å
α = 107.19°, β = 107.19°, γ = 114.13°
Positions (direct):
Tb 0.2500 0.7500 0.5000
Np 0.0000 0.0000 0.0000
Ge 0.7500 0.2500 0.5000
Ge 0.5000 0.5000 0.0000
O 0.3795 0.0697 0.3098
O 0.3111 0.4925 0.1814
O 0.3111 0.1297 0.8186
O 0.7598 0.0697 0.6902
O 0.8703 0.6889 0.1814
O 0.9303 0.2402 0.3098
O 0.9303 0.6205 0.6902
O 0.5075 0.6889 0.8186

---

Entry from Alexandria via LeMat-Bulk: crystalline Cu2Ir5Rh12 at its relaxed geometry (PBE).

Calculated total energy (eV per atom): -7.042
Fermi-level density of states (states/eV per atom): 1.426
V (Å³/atom): 15.23

a = 4.7579 Å, b = 7.2804 Å, c = 9.1193 Å
α = 113.53°, β = 92.43°, γ = 90.00°
Positions (direct):
Cu 0.0000 0.6784 0.0000
Cu 0.0000 0.3216 0.0000
Ir 0.5654 0.2757 0.5514
Ir 0.0654 0.3492 0.6983
Ir 0.5000 0.0000 0.0000
Ir 0.9346 0.6508 0.3017
Ir 0.4346 0.7243 0.4486
Rh 0.0201 0.0733 0.1467
Rh 0.8426 0.9784 0.5978
Rh 0.8426 0.6195 0.5978
Rh 0.3719 0.0617 0.7336
Rh 0.3719 0.6719 0.7336
Rh 0.5767 0.4318 0.8637
Rh 0.4233 0.5682 0.1363
Rh 0.6281 0.9383 0.2664
Rh 0.6281 0.3281 0.2664
Rh 0.1574 0.0216 0.4022
Rh 0.1574 0.3805 0.4022
Rh 0.9799 0.9267 0.8533

---

Entry from Alexandria via LeMat-Bulk: crystalline LaNbSe3 at its relaxed geometry (PBE).

Calculated total energy (eV per atom): -6.072
Fermi-level density of states (states/eV per atom): 0.705
V (Å³/atom): 25.60

a = 5.0398 Å, b = 5.0398 Å, c = 5.0398 Å
α = 90.00°, β = 90.00°, γ = 90.00°
Positions (direct):
Nb 0.0000 0.0000 0.0000
Se 0.0000 0.5000 0.0000
Se 0.0000 0.0000 0.5000
Se 0.5000 0.0000 0.0000
La 0.5000 0.5000 0.5000

---

Entry from Alexandria via LeMat-Bulk: crystalline ThPd6Pt2 at its relaxed geometry (PBE).

Calculated total energy (eV per atom): -6.108
Fermi-level density of states (states/eV per atom): 0.945
V (Å³/atom): 17.00

a = 4.9700 Å, b = 6.4286 Å, c = 8.6474 Å
α = 144.55°, β = 72.81°, γ = 105.26°
Positions (direct):
Th 0.0000 0.5000 0.5000
Pd 0.6725 0.5138 0.8432
Pd 0.3275 0.4862 0.1568
Pd 0.8906 0.8204 0.2740
Pd 0.5551 0.8507 0.6127
Pd 0.1094 0.1796 0.7260
Pd 0.4449 0.1493 0.3873
Pt 0.2357 0.8303 0.9424
Pt 0.7643 0.1697 0.0576

---

Entry from Alexandria via LeMat-Bulk: crystalline Na2ZrTa2Se6 at its relaxed geometry (PBE).

Calculated total energy (eV per atom): -6.092
Fermi-level density of states (states/eV per atom): 0.396
V (Å³/atom): 23.87

a = 6.3918 Å, b = 6.3918 Å, c = 7.5955 Å
α = 96.21°, β = 96.21°, γ = 119.93°
Positions (direct):
Na 0.8246 0.1754 0.0000
Na 0.1754 0.8246 0.0000
Zr 0.0000 0.0000 0.5000
Ta 0.3690 0.6310 0.5000
Ta 0.6310 0.3690 0.5000
Se 0.7351 0.7351 0.7446
Se 0.0498 0.4051 0.7023
Se 0.2649 0.2649 0.2554
Se 0.4051 0.0498 0.7023
Se 0.9502 0.5949 0.2977
Se 0.5949 0.9502 0.2977

---

Entry from Alexandria via LeMat-Bulk: crystalline CePuSeO2 at its relaxed geometry (PBE).

Calculated total energy (eV per atom): -9.502
Fermi-level density of states (states/eV per atom): 2.198
V (Å³/atom): 18.74

a = 3.9090 Å, b = 3.9090 Å, c = 6.7251 Å
α = 106.90°, β = 106.90°, γ = 90.00°
Positions (direct):
Ce 0.8490 0.8490 0.6980
Pu 0.1478 0.1478 0.2956
Se 0.5016 0.5016 0.0032
O 0.7508 0.2508 0.5016
O 0.2508 0.7508 0.5016

---

Which value of Fermi-level density of states does entry 6 give?
1.493 states/eV per atom

---

What did the seventh record say?
Entry from Alexandria via LeMat-Bulk: crystalline TbNpGe2O8 at its relaxed geometry (PBE).

Calculated total energy (eV per atom): -7.939
Fermi-level density of states (states/eV per atom): 0.569
V (Å³/atom): 13.39

a = 5.9417 Å, b = 5.9417 Å, c = 5.9417 Å
α = 107.19°, β = 107.19°, γ = 114.13°
Positions (direct):
Tb 0.2500 0.7500 0.5000
Np 0.0000 0.0000 0.0000
Ge 0.7500 0.2500 0.5000
Ge 0.5000 0.5000 0.0000
O 0.3795 0.0697 0.3098
O 0.3111 0.4925 0.1814
O 0.3111 0.1297 0.8186
O 0.7598 0.0697 0.6902
O 0.8703 0.6889 0.1814
O 0.9303 0.2402 0.3098
O 0.9303 0.6205 0.6902
O 0.5075 0.6889 0.8186